Computed, not measured: a PBEsol-optimized structure of Sr2LiTl at the SCAN level of DFT.

Cell: 3.9223 5.7377 6.8825 Å, 114.63 106.56 90.00°
Last column: nearest neighbours and their distance in Å.
Fractional coordinates of all 4 atoms:
Sr1 0.9879 0.9879 0.9758  4 Tl 3.51, 4 Sr 3.77-3.92, 4 Li 3.83-3.92
Sr2 0.7825 0.2825 0.5650  2 Tl 3.51, 4 Li 3.60, 4 Sr 3.77-3.92
Tl1 0.5277 0.5277 0.0555  2 Li 2.85
Li1 0.2019 0.7019 0.4038  2 Tl 2.85

Calculated values
space group	Imm2
energy relative to the lowest polymorph listed for this composition	1.617	kcal/mol of atoms
M_tot	0.03	μB/atom
Fermi-level density of states	0.59	states/eV per atom
calculated volume	134	Å³ per cell